Crystalline Cu2Au2Cl7 at its relaxed geometry. Source: Alexandria, functional PBE.

Structure (extended XYZ):
```
22
Lattice="5.587 -4.265 0.000 5.587 4.265 0.000 -3.465 0.000 13.988" Properties=species:S:1:pos:R:3 pbc="T T T"
Cu 0.775 0.619 6.798
Cu -0.958 -0.619 13.792
Cu 8.668 0.619 0.196
Cu 6.935 -0.619 7.190
Au 3.709 1.718 2.649
Au 5.733 1.718 4.345
Au 1.977 -1.718 9.643
Au 4.001 -1.718 11.339
Cl 1.870 1.031 1.196
Cl -1.103 0.295 11.660
Cl 2.603 1.892 6.421
Cl 0.630 -0.295 4.666
Cl 0.138 -1.031 8.190
Cl 6.839 1.892 0.573
Cl 2.989 0.246 10.491
Cl 4.721 -0.246 3.497
Cl 0.871 -1.892 13.415
Cl 7.572 1.031 5.798
Cl 7.080 0.295 9.322
Cl 5.107 -1.892 7.567
Cl 8.813 -0.295 2.328
Cl 5.840 -1.031 12.792
```

Output
Symmetry: C2/c, No. 15
Formation energy from raw total energies (eV/atom): -0.35
Crystal system: monoclinic
Calculated total energy (eV per atom): -2.864